Entry 1:
CaCrSe2: relaxed, PBE.

Cell lengths 8.2202, 8.2202, 8.2202 Å; angles 31.11, 31.11, 31.11 degrees
Each line ends with the local moment (μB).
Atoms (fractional coordinates):
Cr 0.0000 0.0000 0.0000  3.72
Ca 0.5000 0.5000 0.5000  0.00
Se 0.8993 0.8993 0.8993  -0.12
Se 0.1007 0.1007 0.1007  -0.12

relative energy among the computed polymorphs = 408.1 meV per atom

Entry 2:
CaCrSe: relaxed, PBE.

Cell lengths 4.9214, 4.9214, 4.9214 Å; angles 60.00, 60.00, 60.00 degrees
Each line ends with the local moment (μB).
Atoms (fractional coordinates):
Cr 0.0000 0.0000 0.0000  4.39
Ca 0.7500 0.7500 0.7500  0.17
Se 0.5000 0.5000 0.5000  0.07

relative energy among the computed polymorphs = 502.1 meV per atom

Entry 3:
CaCrSe2: relaxed, PBE.

Cell lengths 6.1242, 6.1242, 7.6453 Å; angles 66.39, 66.39, 90.00 degrees
Each line ends with the local moment (μB).
Atoms (fractional coordinates):
Cr 0.0000 0.0000 0.0000  3.56
Cr 0.7500 0.2500 0.5000  3.56
Ca 0.5000 0.5000 0.0000  0.03
Ca 0.2500 0.7500 0.5000  0.03
Se 0.6740 0.1250 0.2500  -0.05
Se 0.0760 0.6250 0.2500  -0.06
Se 0.3750 0.3260 0.7500  -0.04
Se 0.8750 0.9240 0.7500  -0.06

relative energy among the computed polymorphs = 137.0 meV per atom

Entry 4:
CaCrSe2: relaxed, PBE.

Cell lengths 7.7762, 4.9158, 3.4857 Å; angles 89.97, 63.40, 129.21 degrees
Each line ends with the local moment (μB).
Atoms (fractional coordinates):
Cr 0.5000 0.5000 0.0000  3.84
Ca 0.0000 0.5000 0.5000  0.03
Se 0.0000 0.0000 0.0000  -0.15
Se 0.5000 0.0000 0.5000  -0.15

relative energy among the computed polymorphs = 290.4 meV per atom

Entry 5:
CaCrSe2: relaxed, PBE.

Cell lengths 3.5894, 3.9098, 6.9406 Å; angles 84.97, 90.00, 90.00 degrees
Each line ends with the local moment (μB).
Atoms (fractional coordinates):
Cr 0.5000 0.7500 0.7500  3.58
Ca 0.5000 0.2500 0.2500  0.02
Se 0.0000 0.7856 0.0053  -0.05
Se 0.0000 0.7144 0.4947  -0.05

relative energy among the computed polymorphs = 107.1 meV per atom

Entry 6:
CaCrSe: relaxed, PBE.

Cell lengths 4.3685, 4.3685, 4.1660 Å; angles 90.00, 90.00, 120.00 degrees
Each line ends with the local moment (μB).
Atoms (fractional coordinates):
Cr 0.6667 0.3333 0.4998  3.68
Ca 0.0000 0.0000 0.0000  0.02
Se 0.3333 0.6667 0.5002  -0.01

relative energy among the computed polymorphs = 0.0 meV per atom

Entry 7:
CaCrSe2: relaxed, PBE.

Cell lengths 8.5930, 8.5930, 8.5930 Å; angles 25.80, 25.80, 25.80 degrees
Each line ends with the local moment (μB).
Atoms (fractional coordinates):
Cr 0.5000 0.5000 0.5000  3.05
Ca 0.0000 0.0000 0.0000  0.01
Se 0.8863 0.8863 0.8863  -0.10
Se 0.1137 0.1137 0.1137  -0.10

relative energy among the computed polymorphs = 432.7 meV per atom

Entry 8:
CaCrSe: relaxed, PBE.

Cell lengths 6.0246, 6.0235, 3.5600 Å; angles 72.83, 72.80, 34.37 degrees
Each line ends with the local moment (μB).
Atoms (fractional coordinates):
Cr 0.2932 0.2932 0.7068  3.71
Ca 0.0043 0.0043 0.9957  0.02
Se 0.7025 0.7025 0.2975  -0.06

relative energy among the computed polymorphs = 215.5 meV per atom

Record order is preserved below.
Total magnetization: 4.0; 5.8; 4.0; 4.0; 4.0; 4.2; 3.1; 4.2 μB/f.u.
Record order is preserved below.
Formation energy (no corrections): -0.65; 0.04; -0.92; -0.77; -0.95; -0.47; -0.62; -0.25 eV per atom